DFT (PBE) results for Pm2Nb3O10 after structural relaxation.

Summary:
energy relative to the elements, uncorrected = -2.781 eV/atom

Geometry as CIF:
```
data_Pm2Nb3O10
_symmetry_space_group_name_H-M 'C 1 2/m 1'
_symmetry_Int_Tables_number 12
_symmetry_space_group_name_Hall '-C 2y'
_cell_length_a 18.853
_cell_length_b 5.857
_cell_length_c 7.703
_cell_angle_alpha 90.00
_cell_angle_beta 111.96
_cell_angle_gamma 90.00
loop_
_atom_site_label
_atom_site_fract_x
_atom_site_fract_y
_atom_site_fract_z
_atom_site_occupancy
Pm1 0.089 0.000 0.452 1
Pm2 0.176 0.000 0.005 1
Nb1 0.000 0.248 0.000 1
Nb2 0.085 0.500 0.669 1
Nb3 0.190 0.500 0.329 1
O1 0.000 0.258 0.500 1
O2 0.026 0.000 0.838 1
O3 0.029 0.500 0.848 1
O4 0.110 0.230 0.177 1
O5 0.114 0.500 0.452 1
O6 0.146 0.236 0.757 1
O7 0.219 0.500 0.118 1
O8 0.250 0.250 0.500 1
```

---

DFT (PBE) results for SrSiMo2 after structural relaxation.

Summary:
energy relative to the elements, uncorrected = 0.883 eV/atom

Geometry as CIF:
```
data_SrSiMo2
_symmetry_space_group_name_H-M 'P 4/m m m'
_symmetry_Int_Tables_number 123
_symmetry_space_group_name_Hall '-P 4 2'
_cell_length_a 4.054
_cell_length_b 4.054
_cell_length_c 4.629
_cell_angle_alpha 90.00
_cell_angle_beta 90.00
_cell_angle_gamma 90.00
loop_
_atom_site_label
_atom_site_fract_x
_atom_site_fract_y
_atom_site_fract_z
_atom_site_occupancy
Sr1 0.000 0.000 0.000 1
Si1 0.500 0.500 0.000 1
Mo1 0.000 0.500 0.500 1
```